Entry 1:
The following is a DFT calculation (PBE-GGA) of a relaxed structure of Nd6Ir2NCl3.

```
12
Lattice="-6.841 1.021 -0.778 3.948 -1.459 -5.544 -0.306 -7.153 3.029" Properties=species:S:1:pos:R:3 pbc="T T T"
Nd -2.361 -1.099 -0.041
Nd -0.838 -6.491 -3.252
Nd -2.217 -1.730 -4.119
Nd 0.989 -1.869 -1.521
Nd -0.982 -5.861 0.826
Nd -4.188 -5.721 -1.772
N 0.000 0.000 0.000
Cl -5.313 -2.942 -0.006
Cl -1.600 -3.795 -1.646
Cl 2.114 -4.649 -3.287
Ir -3.256 0.197 -2.362
Ir 0.363 -0.635 -3.960
```

Calculated values
- Space-group type: C2/m, No. 12
- Formation energy without anion corrections: -1247.9 meV per atom
- E_tot: -6.264 eV per atom

Entry 2:
The following is a DFT calculation (PBE-GGA) of a relaxed structure of NdLuBeAg.

```
4
Lattice="-1.895 -0.530 4.655 -4.557 -2.085 0.651 -0.405 -4.599 2.054" Properties=species:S:1:pos:R:3 pbc="T T T"
Nd 0.000 0.000 0.000
Lu -3.428 -3.607 3.680
Be -5.142 -5.411 5.520
Ag -1.714 -1.804 1.840
```

Calculated values
- Space-group type: F-43m, No. 216
- E_tot: -3.995 eV per atom

Entry 3:
The following is a DFT calculation (PBE-GGA) of a relaxed structure of KNaPO2.

```
5
Lattice="4.914 0.000 0.000 0.000 4.914 0.000 0.000 0.000 6.024" Properties=species:S:1:pos:R:3 pbc="T T T"
Na 2.457 2.457 3.012
K 0.000 0.000 0.000
P 0.000 0.000 3.012
O 2.457 0.000 0.000
O 0.000 2.457 0.000
```

Calculated values
- Space-group type: P4/mmm, No. 123
- E above lowest polymorph: 28.5 kJ per mole of atoms
- Formation energy without anion corrections: 660.9 meV per atom
- E_tot: -2.888 eV per atom

Entry 4:
The following is a DFT calculation (PBE-GGA) of a relaxed structure of PaInAs2O8.

```
12
Lattice="-4.170 3.802 2.088 -0.430 -5.476 2.456 5.410 2.236 1.392" Properties=species:S:1:pos:R:3 pbc="T T T"
O -0.598 -1.121 2.157
O -2.490 2.861 3.122
O 2.076 0.024 3.845
O 3.032 2.274 2.174
O -2.891 -0.053 3.696
O 0.709 4.128 2.559
O 0.231 1.801 1.218
O -0.571 1.613 4.605
As -0.530 2.601 2.876
As -2.300 -0.837 2.272
Pa 0.000 0.000 0.000
In 1.340 -2.039 3.060
```

Calculated values
- Space-group type: I-4m2, No. 119
- Formation energy without anion corrections: -1828.9 meV per atom
- E_tot: -6.929 eV per atom

Entry 5:
The following is a DFT calculation (PBE-GGA) of a relaxed structure of Pr3SnP2Rh9.

```
15
Lattice="-5.926 -0.539 -1.421 3.517 -4.991 0.399 -2.090 -0.752 9.004" Properties=species:S:1:pos:R:3 pbc="T T T"
Sn -1.045 -0.376 4.502
Pr -3.415 -2.252 1.928
Pr -1.085 -4.030 6.055
Pr 0.000 0.000 0.000
Rh 1.758 -2.495 0.200
Rh 1.515 -4.519 2.569
Rh -2.963 -0.270 -0.710
Rh -4.100 -4.481 5.630
Rh -1.712 -4.813 1.796
Rh -0.400 -1.802 2.352
Rh -1.205 -2.765 -0.511
Rh -6.015 -1.763 5.413
Rh -2.788 -1.469 6.187
P -4.539 -2.657 6.768
P 0.039 -3.626 1.214
```

Calculated values
- Space-group type: P-3m1, No. 164
- E_tot: -6.979 eV per atom

Entry 6:
The following is a DFT calculation (PBE-GGA) of a relaxed structure of Li2NpPb2O6.

```
11
Lattice="-3.206 3.688 -2.408 1.194 -4.657 -2.561 -6.204 -3.329 3.162" Properties=species:S:1:pos:R:3 pbc="T T T"
Pb -5.954 -1.356 -0.310
Pb -2.262 -2.943 -1.496
O -7.466 -0.346 0.987
O -7.622 -2.342 -1.421
O -0.594 -1.957 -0.385
O -5.937 -3.075 1.114
O -2.280 -1.223 -2.920
O -0.750 -3.953 -2.793
Li -2.246 0.634 -2.200
Li -5.970 -4.933 0.394
Np 0.000 0.000 0.000
```

Calculated values
- Space-group type: P-3, No. 147
- Formation energy without anion corrections: -2000.9 meV per atom
- E_tot: -6.904 eV per atom

Entry 7:
The following is a DFT calculation (PBE-GGA) of a relaxed structure of Ac2HoO.

```
4
Lattice="3.789 0.000 0.000 1.894 3.281 0.000 1.894 1.094 10.068" Properties=species:S:1:pos:R:3 pbc="T T T"
Ac 1.894 1.094 6.548
Ac 5.683 3.281 3.520
O 3.789 2.187 5.034
Ho 0.000 0.000 0.000
```

Calculated values
- Space-group type: R-3m, No. 166
- Formation energy without anion corrections: -936.3 meV per atom
- E_tot: -5.374 eV per atom

Entry 8:
The following is a DFT calculation (PBE-GGA) of a relaxed structure of La2Co2Tc.

```
10
Lattice="-1.682 2.618 -5.881 -1.468 -6.074 -2.284 -4.236 0.487 1.428" Properties=species:S:1:pos:R:3 pbc="T T T"
Tc -1.575 -1.728 -4.082
Tc 0.000 0.000 0.000
La -3.957 0.457 -4.814
La -3.428 -3.427 -1.923
La -4.466 -2.931 -5.169
La -2.920 -0.039 -1.568
Co -0.762 -1.890 -1.617
Co -1.257 0.853 -4.018
Co -1.893 -4.309 -4.147
Co -2.388 -1.566 -6.548
```

Calculated values
- Space-group type: P4/mbm, No. 127
- E_tot: -6.715 eV per atom

Entry 9:
The following is a DFT calculation (PBE-GGA) of a relaxed structure of Ac2NbB2N6.

```
11
Lattice="-1.543 3.168 -4.142 -5.263 0.386 -1.314 -2.808 5.351 1.569" Properties=species:S:1:pos:R:3 pbc="T T T"
N -3.270 3.716 -3.079
N -5.001 2.422 -1.763
N -5.719 3.896 -3.691
N -3.895 5.009 -0.196
N -6.344 5.189 -0.807
N -4.613 6.484 -2.123
B -4.945 5.515 -1.080
B -4.669 3.391 -2.807
Ac -2.439 2.504 -0.746
Ac -7.175 6.402 -3.140
Nb 0.000 0.000 0.000
```

Calculated values
- Space-group type: R-3m, No. 166
- Formation energy without anion corrections: -1036.8 meV per atom
- E_tot: -8.454 eV per atom